(1)
{"formula": "NdSm3Er12", "functional": "PBE", "state": "relaxed", "ef_ev_per_fu": 0.37, "spacegroup": "No. 123", "lattice_angstrom": [[5.003, 0.000, 0.000], [0.000, 5.003, 0.000], [0.000, 0.000, 20.033]], "species": ["Nd", "Sm", "Sm", "Sm", "Er", "Er", "Er", "Er", "Er", "Er", "Er", "Er", "Er", "Er", "Er", "Er"], "frac_coords": [[0.000, 0.000, 0.000], [0.000, 0.000, 0.250], [0.000, 0.000, 0.500], [0.000, 0.000, 0.750], [0.000, 0.500, 0.126], [0.000, 0.500, 0.375], [0.000, 0.500, 0.625], [0.000, 0.500, 0.874], [0.500, 0.000, 0.126], [0.500, 0.000, 0.375], [0.500, 0.000, 0.625], [0.500, 0.000, 0.874], [0.500, 0.500, 0.000], [0.500, 0.500, 0.250], [0.500, 0.500, 0.500], [0.500, 0.500, 0.750]]}

---

(2)
{"formula": "Nd3Sm3Er8", "functional": "PBE", "state": "relaxed", "ef_ev_per_fu": 1.54, "spacegroup": "No. 71", "lattice_angstrom": [[-2.828, 5.376, 7.567], [2.828, -5.376, 7.567], [2.828, 5.376, -7.567]], "species": ["Nd", "Nd", "Nd", "Sm", "Sm", "Sm", "Er", "Er", "Er", "Er", "Er", "Er", "Er", "Er"], "frac_coords": [[0.000, 0.000, 0.000], [0.186, 0.686, 0.500], [0.814, 0.314, 0.500], [0.200, 0.500, 0.700], [0.500, 0.500, 0.000], [0.800, 0.500, 0.300], [0.118, 0.280, 0.839], [0.239, 0.897, 0.341], [0.441, 0.280, 0.161], [0.444, 0.103, 0.341], [0.556, 0.897, 0.659], [0.559, 0.720, 0.839], [0.761, 0.103, 0.659], [0.882, 0.720, 0.161]]}

---

(3)
{"formula": "Nd6Sm16Er7", "functional": "PBE", "state": "relaxed", "ef_ev_per_fu": 6.16, "spacegroup": "No. 225", "lattice_angstrom": [[0.000, 7.976, 7.976], [7.976, 0.000, 7.976], [7.976, 7.976, 0.000]], "species": ["Nd", "Nd", "Nd", "Nd", "Nd", "Nd", "Sm", "Sm", "Sm", "Sm", "Sm", "Sm", "Sm", "Sm", "Sm", "Sm", "Sm", "Sm", "Sm", "Sm", "Sm", "Sm", "Er", "Er", "Er", "Er", "Er", "Er", "Er"], "frac_coords": [[0.226, 0.226, 0.774], [0.226, 0.774, 0.226], [0.226, 0.774, 0.774], [0.774, 0.226, 0.226], [0.774, 0.226, 0.774], [0.774, 0.774, 0.226], [0.124, 0.625, 0.625], [0.151, 0.151, 0.151], [0.151, 0.151, 0.546], [0.151, 0.546, 0.151], [0.375, 0.375, 0.375], [0.375, 0.375, 0.876], [0.375, 0.876, 0.375], [0.454, 0.849, 0.849], [0.546, 0.151, 0.151], [0.625, 0.124, 0.625], [0.625, 0.625, 0.124], [0.625, 0.625, 0.625], [0.849, 0.454, 0.849], [0.849, 0.849, 0.454], [0.849, 0.849, 0.849], [0.876, 0.375, 0.375], [0.000, 0.000, 0.500], [0.000, 0.500, 0.000], [0.000, 0.500, 0.500], [0.500, 0.000, 0.000], [0.500, 0.000, 0.500], [0.500, 0.500, 0.000], [0.500, 0.500, 0.500]]}

---

(4)
{"formula": "Nd3Sm2Er8", "functional": "PBE", "state": "relaxed", "de_polymorph_ev_per_atom": 0.076, "ef_ev_per_fu": 3.09, "spacegroup": "No. 12", "lattice_angstrom": [[7.310, -4.579, 0.000], [7.310, 4.579, 0.000], [-2.239, 0.000, 6.576]], "species": ["Nd", "Nd", "Nd", "Sm", "Sm", "Er", "Er", "Er", "Er", "Er", "Er", "Er", "Er"], "frac_coords": [[0.000, 0.000, 0.000], [0.177, 0.823, 0.500], [0.823, 0.177, 0.500], [0.219, 0.219, 0.422], [0.781, 0.781, 0.578], [0.193, 0.193, 0.897], [0.201, 0.562, 0.826], [0.419, 0.419, 0.266], [0.438, 0.799, 0.174], [0.562, 0.201, 0.826], [0.581, 0.581, 0.734], [0.799, 0.438, 0.174], [0.807, 0.807, 0.103]]}